The following is a DFT calculation (meta-GGA SCAN) of a PBEsol-optimized structure of SrLaRu2.

The calculation puts the formation energy at 0.274 eV/atom. The total DFT energy (no corrections) is -33.485 eV per atom.

The structure belongs to space group P2/m (No. 10); the cell edges are 3.151, 4.401 and 6.562 Å and the angles 90.00°, 100.89° and 90.00°. The asymmetric unit holds Sr at (0.000, 0.000, 0.000), La at (0.500, 0.000, 0.500) and Ru at (0.307, 0.500, 0.674).

***

The following is a DFT calculation (meta-GGA SCAN) of a PBEsol-optimized structure of SrLa2Ru.

The calculation puts the formation energy at -0.185 eV/atom. The total DFT energy (no corrections) is -36.012 eV per atom.

The structure belongs to space group R-3m (No. 166, hexagonal axes); the cell edges are 4.1149, 4.1149 and 29.2830 Å and the angles 90.00°, 90.00° and 120.00°. The asymmetric unit holds Sr at (0.0000, 0.0000, 0.0000), La at (0.0000, 0.0000, 0.2170) and Ru at (0.0000, 0.0000, 0.5000).

***

The following is a DFT calculation (meta-GGA SCAN) of a PBEsol-optimized structure of Sr2LaRu.

The calculation puts the formation energy at 0.430 eV/atom. The total DFT energy (no corrections) is -30.190 eV per atom.

The structure belongs to space group F-43m (No. 216); the cell edges are 7.602, 7.602 and 7.602 Å and the angles 90.00°, 90.00° and 90.00°. The asymmetric unit holds Sr at (0.000, 0.000, 0.000), Sr at (0.250, 0.250, 0.250), La at (0.250, 0.250, 0.750) and Ru at (0.000, 0.000, 0.500).

***

The following is a DFT calculation (meta-GGA SCAN) of a PBEsol-optimized structure of SrLa2Ru.

The calculation puts the formation energy at -0.102 eV/atom. The total DFT energy (no corrections) is -35.930 eV per atom.

The structure belongs to space group P4/mmm (No. 123); the cell edges are 3.548, 3.548 and 10.240 Å and the angles 90.00°, 90.00° and 90.00°. The asymmetric unit holds Sr at (0.000, 0.000, 0.000), La at (0.500, 0.500, 0.338) and Ru at (0.000, 0.000, 0.500).

***

The following is a DFT calculation (meta-GGA SCAN) of a PBEsol-optimized structure of Sr2LaRu.

The calculation puts the formation energy at 0.066 eV/atom. The total DFT energy (no corrections) is -30.554 eV per atom.

The structure belongs to space group Pm (No. 6); the cell edges are 3.586, 3.709 and 10.155 Å and the angles 90.00°, 94.72° and 90.00°. The asymmetric unit holds Sr at (0.000, 0.000, 0.000), Sr at (0.418, 0.500, 0.655), La at (0.556, 0.500, 0.319) and Ru at (0.910, 0.000, 0.458).

***

The following is a DFT calculation (meta-GGA SCAN) of a PBEsol-optimized structure of LaTa2Ru.

The calculation puts the formation energy at 0.359 eV/atom. The total DFT energy (no corrections) is -52.415 eV per atom.

The structure belongs to space group P2/m (No. 10); the cell edges are 2.998, 4.624 and 5.545 Å and the angles 90.00°, 102.53° and 90.00°. The asymmetric unit holds La at (0.000, 0.000, 0.000), Ta at (0.265, 0.500, 0.727) and Ru at (0.500, 0.000, 0.500).